# PBE LaMoW2, optimized geometry
data_LaMoW2
_space_group_name_H-M_alt 'P 1'
_space_group_IT_number 1
_cell_length_a 3.208
_cell_length_b 4.768
_cell_length_c 9.840
_cell_angle_alpha 90.00
_cell_angle_beta 90.00
_cell_angle_gamma 90.00
loop_
_space_group_symop_operation_xyz
'x,y,z'
loop_
_atom_site_label
_atom_site_fract_x
_atom_site_fract_y
_atom_site_fract_z
La1 0.000 0.000 0.000
La2 0.500 0.500 0.000
Mo1 0.000 0.000 0.500
Mo2 0.500 0.500 0.500
W1 0.000 0.500 0.283
W2 0.000 0.500 0.717
W3 0.500 0.000 0.283
W4 0.500 0.000 0.717
# Calculated density, g/cm³: 13.295
# ΔE_f, meV/atom: 470
# Energy above the lowest structure with this stoichiometry, meV/atom: 30
# Total energy, eV/atom: -9.946